i | SrMgIO2: relaxed, GGA-PBE.

Lattice parameters (Å, degrees): 4.593 4.593 6.480 90.00 90.00 90.00
Fractional coordinates of all 5 atoms:
Sr 0.000 0.000 0.000
Mg 0.500 0.500 0.500
I 0.000 0.000 0.500
O 0.000 0.500 0.000
O 0.500 0.000 0.000

***

ii | SrMgIO2: relaxed, GGA-PBE.

Lattice parameters (Å, degrees): 4.340 4.340 5.469 90.00 90.00 90.00
Fractional coordinates of all 5 atoms:
Sr 0.000 0.000 0.000
Mg 0.500 0.500 0.500
I 0.500 0.500 0.000
O 0.000 0.500 0.500
O 0.500 0.000 0.500

***

It is ii that is most stable; the runner-up trails by 622 meV per atom.

***

i | MgTcIO2: relaxed, GGA-PBE.

Lattice parameters (Å, degrees): 3.899 3.899 6.307 90.00 90.00 90.00
Fractional coordinates of all 5 atoms:
Mg 0.000 0.000 0.000
Tc 0.500 0.500 0.500
I 0.500 0.500 0.000
O 0.000 0.500 0.500
O 0.500 0.000 0.500

***

ii | MgTcIO2: relaxed, GGA-PBE.

Lattice parameters (Å, degrees): 3.989 3.989 5.796 90.00 90.00 90.00
Fractional coordinates of all 5 atoms:
Mg 0.000 0.000 0.000
Tc 0.500 0.500 0.500
I 0.000 0.000 0.500
O 0.000 0.500 0.000
O 0.500 0.000 0.000

***

It is i that is most stable; the runner-up trails by 695 meV per atom.

***

i | MgTcI2O: relaxed, GGA-PBE.

Lattice parameters (Å, degrees): 5.789 5.789 3.753 90.00 90.00 90.00
Fractional coordinates of all 5 atoms:
Mg 0.000 0.000 0.000
Tc 0.500 0.500 0.500
I 0.000 0.500 0.000
I 0.500 0.000 0.000
O 0.000 0.000 0.500

***

ii | MgTcI2O: relaxed, GGA-PBE.

Lattice parameters (Å, degrees): 5.643 5.643 3.773 90.00 90.00 90.00
Fractional coordinates of all 5 atoms:
Mg 0.000 0.000 0.000
Tc 0.500 0.500 0.500
I 0.000 0.500 0.500
I 0.500 0.000 0.500
O 0.500 0.500 0.000

***

It is ii that is most stable; the runner-up trails by 417 meV per atom.